First-principles (PBE) data for a relaxed HgAs2IF crystal, as listed in Alexandria.

Cell: 5.2628 5.2628 4.5631 Å, 90.00 90.00 90.00°
Closest atoms and distances in Å follow each position.
Space group P4/mmm (No. 123)
Unique sites:
Hg  0.0000  0.0000  0.0000  2 F 2.28
As  0.0000  0.5000  0.0000  2 Hg 2.63
I  0.5000  0.5000  0.5000  8 As 3.48, 4 F 3.72
F  0.0000  0.0000  0.5000  2 Hg 2.28

## Properties
- DFT total energy: -11.92 eV for the cell shown
- E_form (uncorrected): 220.0 meV/atom
- Mass density: 6.52 g/cm³


First-principles (PBE) data for a relaxed LaHgAs2F crystal, as listed in Alexandria.

Cell: 4.7447 4.7447 4.9283 Å, 90.00 90.00 90.00°
Closest atoms and distances in Å follow each position.
Space group P4/mmm (No. 123)
Unique sites:
La  0.0000  0.0000  0.0000  4 Hg 3.35, 8 As 3.42
Hg  0.5000  0.5000  0.0000  2 F 2.46
As  0.0000  0.5000  0.5000  2 F 2.37
F  0.5000  0.5000  0.5000  4 As 2.37, 2 Hg 2.46

## Properties
- DFT total energy: -19.52 eV for the cell shown
- E_form (uncorrected): -623.2 meV/atom
- Mass density: 7.61 g/cm³


First-principles (PBE) data for a relaxed HgAs2NF crystal, as listed in Alexandria.

Cell: 4.0861 4.0861 5.2850 Å, 90.00 90.00 90.00°
Closest atoms and distances in Å follow each position.
Space group P4/mmm (No. 123)
Unique sites:
Hg  0.0000  0.0000  0.0000  4 F 2.89
As  0.0000  0.5000  0.5000  2 N 2.04
N  0.5000  0.5000  0.5000  4 As 2.04
F  0.5000  0.5000  0.0000  2 N 2.64, 4 Hg 2.89

## Properties
- DFT total energy: -17.38 eV for the cell shown
- E_form (uncorrected): 483.2 meV/atom
- Mass density: 7.22 g/cm³


First-principles (PBE) data for a relaxed HgAsNF2 crystal, as listed in Alexandria.

Cell: 4.3860 4.3860 4.3154 Å, 90.00 90.00 90.00°
Closest atoms and distances in Å follow each position.
Space group P4/mmm (No. 123)
Unique sites:
Hg  0.0000  0.0000  0.0000  2 N 2.16, 4 F 2.19
As  0.5000  0.5000  0.5000  8 F 3.08, 4 N 3.10
N  0.0000  0.0000  0.5000  2 Hg 2.16
F  0.0000  0.5000  0.0000  2 Hg 2.19

## Properties
- DFT total energy: -14.34 eV for the cell shown
- E_form (uncorrected): 535.9 meV/atom
- Mass density: 6.55 g/cm³


First-principles (PBE) data for a relaxed HgAsNF2 crystal, as listed in Alexandria.

Cell: 4.1509 4.1509 4.2317 Å, 90.00 90.00 90.00°
Closest atoms and distances in Å follow each position.
Space group P4/mmm (No. 123)
Unique sites:
Hg  0.0000  0.0000  0.0000  4 N 2.94, 8 F 2.96
As  0.5000  0.5000  0.5000  4 F 2.08, 2 N 2.12
N  0.5000  0.5000  0.0000  2 As 2.12
F  0.0000  0.5000  0.5000  2 As 2.08

## Properties
- DFT total energy: -18.53 eV for the cell shown
- E_form (uncorrected): -301.7 meV/atom
- Mass density: 7.46 g/cm³


First-principles (PBE) data for a relaxed HgAs2NF crystal, as listed in Alexandria.

Cell: 5.1354 5.1354 4.2865 Å, 90.00 90.00 90.00°
Closest atoms and distances in Å follow each position.
Space group P4/mmm (No. 123)
Unique sites:
Hg  0.0000  0.0000  0.0000  2 F 2.14
As  0.0000  0.5000  0.0000  2 Hg 2.57
N  0.5000  0.5000  0.5000  8 As 3.34, 4 F 3.63
F  0.0000  0.0000  0.5000  2 Hg 2.14

## Properties
- DFT total energy: -12.34 eV for the cell shown
- E_form (uncorrected): 1490.9 meV/atom
- Mass density: 5.63 g/cm³


First-principles (PBE) data for a relaxed Na2HgAsF6 crystal, as listed in Alexandria.

Cell: 9.1289 9.1289 9.1289 Å, 90.00 90.00 90.00°
Closest atoms and distances in Å follow each position.
Space group Fm-3m (No. 225)
Unique sites:
Na  0.2500  0.2500  0.2500  12 F 3.24
Hg  0.0000  0.0000  0.0000  6 F 2.56
As  0.0000  0.0000  0.5000  6 F 2.01
F  0.0000  0.0000  0.2802  1 As 2.01

## Properties
- DFT total energy: -151.83 eV for the cell shown
- E_form (uncorrected): -1913.9 meV/atom
- Mass density: 3.80 g/cm³


First-principles (PBE) data for a relaxed Hg3AsO2F6 crystal, as listed in Alexandria.

Cell: 12.7244 7.2477 5.1147 Å, 90.00 98.46 90.00°
Closest atoms and distances in Å follow each position.
Space group C2/m (No. 12)
Unique sites:
Hg  0.0000  0.0000  0.0000  2 O 2.11
Hg  0.2500  0.2500  0.0000  2 O 2.11
As  0.0000  0.5000  0.5000  6 F 1.78
O  0.1644  0.0000  0.9801  3 Hg 2.11
F  0.0772  0.5000  0.8203  1 As 1.78
F  0.0842  0.3256  0.3985  1 As 1.78

## Properties
- DFT total energy: -87.11 eV for the cell shown
- E_form (uncorrected): -1404.4 meV/atom
- Mass density: 5.86 g/cm³